# 1
{"formula": "Ca3MgZn", "functional": "GGA-PBE", "state": "optimized geometry", "m_tot_mub_per_atom": 0.0000, "space_group": "No. 194", "polymorph_energy_mev_per_atom": 92, "e_form_ev_per_atom": -0.01, "lattice_angstrom": [[-5.9847, 4.2138, 4.3556], [0.9516, -8.3923, 1.0989], [3.5221, 0.9169, 3.9523]], "species": ["Mg", "Mg", "Zn", "Zn", "Ca", "Ca", "Ca", "Ca", "Ca", "Ca"], "frac_coords": [[0.6667, 0.3333, 0.7500], [0.3333, 0.6667, 0.2500], [0.0000, 0.0000, 0.5000], [0.0000, 0.0000, 0.0000], [0.3728, 0.1864, 0.2500], [0.1864, 0.8136, 0.7500], [0.8136, 0.6272, 0.2500], [0.6272, 0.8136, 0.7500], [0.8136, 0.1864, 0.2500], [0.1864, 0.3728, 0.7500]]}

---

# 2
{"formula": "CaMgZn", "functional": "GGA-PBE", "state": "optimized geometry", "m_tot_mub_per_atom": 0.0000, "space_group": "No. 57", "e_form_ev_per_atom": -0.15, "lattice_angstrom": [[-3.8867, -4.3331, -1.9177], [-1.8008, -1.1534, 6.2559], [-5.3742, 5.0900, -0.6086]], "species": ["Mg", "Mg", "Mg", "Mg", "Zn", "Zn", "Zn", "Zn", "Ca", "Ca", "Ca", "Ca"], "frac_coords": [[0.7500, 0.9173, 0.5514], [0.2500, 0.9173, 0.9486], [0.7500, 0.0827, 0.0514], [0.2500, 0.0827, 0.4486], [0.5000, 0.2164, 0.7500], [0.5000, 0.7836, 0.2500], [0.0000, 0.2164, 0.7500], [0.0000, 0.7836, 0.2500], [0.7500, 0.4007, 0.4092], [0.2500, 0.5993, 0.5908], [0.2500, 0.4007, 0.0908], [0.7500, 0.5993, 0.9092]]}

---

# 3
{"formula": "CaMgZn2", "functional": "GGA-PBE", "state": "optimized geometry", "m_tot_mub_per_atom": 0.0000, "space_group": "No. 166", "e_form_ev_per_atom": 0.01, "lattice_angstrom": [[8.1621, -0.2187, -0.1300], [7.3829, 3.4871, -0.1300], [7.3829, 1.5523, 3.1252]], "species": ["Mg", "Zn", "Zn", "Ca"], "frac_coords": [[0.7500, 0.7500, 0.7500], [0.0085, 0.0085, 0.0085], [0.4915, 0.4915, 0.4915], [0.2500, 0.2500, 0.2500]]}

---

# 4
{"formula": "Ca3MgZn4", "functional": "GGA-PBE", "state": "optimized geometry", "m_tot_mub_per_atom": 0.0000, "space_group": "No. 123", "e_form_ev_per_atom": -0.19, "lattice_angstrom": [[3.6169, 0.0000, 0.0000], [0.0000, 3.6169, 0.0000], [0.0000, 0.0000, 14.1752]], "species": ["Zn", "Zn", "Zn", "Zn", "Ca", "Ca", "Ca", "Mg"], "frac_coords": [[0.0000, 0.0000, 0.0991], [0.0000, 0.0000, 0.3680], [0.0000, 0.0000, 0.6320], [0.0000, 0.0000, 0.9009], [0.5000, 0.5000, 0.5000], [0.5000, 0.5000, 0.2374], [0.5000, 0.5000, 0.7626], [0.5000, 0.5000, 0.0000]]}